Here is a geometry-optimized CoAgO3 structure from OQMD. Energies are from PBE+U.

```
data_CoAgO3
_chemical_formula_sum 'Co1 Ag1 O3'
_cell_length_a 3.9728
_cell_length_b 3.9728
_cell_length_c 3.9728
_cell_angle_alpha 90.00
_cell_angle_beta 90.00
_cell_angle_gamma 90.00
_symmetry_space_group_name_H-M 'P m -3 m'
_symmetry_Int_Tables_number 221
_symmetry_space_group_name_Hall '-P 4 2 3'
loop_
_atom_site_label
_atom_site_fract_x
_atom_site_fract_y
_atom_site_fract_z
Co1 0.0000 0.0000 0.0000
Ag1 0.5000 0.5000 0.5000
O1 0.0000 0.5000 0.5000
```

Calculated values
* M_tot: 3.4 μB/f.u.
* electronic total energy: -3.9161 eV per atom